# 1
The following is a GGA-PBEsol calculation of a geometry-optimized ZnCo2Tc structure, from the Alexandria database.

```
ZnCo2Tc
1.0
-1.873 -1.256 -1.276
-1.325 -1.103 3.030
-2.980 4.211 0.230
Zn Co Tc
1 2 1
Direct
0.500 0.500 0.500
0.000 0.000 0.758
0.000 0.000 0.242
0.500 0.500 0.000
```

Properties
**M_tot**: 0.00 μB/cell
**Symmetry**: Pmmm

---

# 2
The following is a GGA-PBEsol calculation of a geometry-optimized Ba2UCrO6 structure, from the Alexandria database.

```
Ba2UCrO6
1.0
5.840 0.000 0.000
2.920 5.057 0.000
2.920 1.686 4.768
Cr U Ba O
1 1 2 6
Direct
0.000 0.000 0.000
0.500 0.500 0.500
0.750 0.750 0.750
0.250 0.250 0.250
0.759 0.241 0.759
0.241 0.759 0.759
0.759 0.759 0.241
0.759 0.241 0.241
0.241 0.241 0.759
0.241 0.759 0.241
```

Properties
**Raw formation energy**: -276.7 kJ per mole of atoms
**M_tot**: 4.00 μB/cell
**Symmetry**: Fm-3m

---

Total energy values (in eV for the cell shown) by entry order: -28.24; -86.87.